No. 1
DFT (GGA-PBE) results for a relaxed Pm2SmTe crystal.

a b c (Å): 3.955 3.955 8.042
angles (deg): 90.00 90.00 90.00
Fractional positions:
Pm: 0.000 0.000 0.220
Pm: 0.000 0.000 0.780
Sm: 0.500 0.500 0.500
Te: 0.500 0.500 0.000

DOS at the Fermi energy: 5.3 states/eV per cell
E above lowest polymorph: 103 meV per atom

***

No. 2
DFT (GGA-PBE) results for a relaxed Pm2SmTe crystal.

a b c (Å): 4.054 12.268 10.179
angles (deg): 90.00 90.00 90.00
Fractional positions:
Pm: 0.000 0.136 0.036
Pm: 0.000 0.136 0.464
Pm: 0.000 0.864 0.536
Pm: 0.000 0.864 0.964
Pm: 0.500 0.364 0.536
Pm: 0.500 0.364 0.964
Pm: 0.500 0.636 0.036
Pm: 0.500 0.636 0.464
Sm: 0.000 0.441 0.250
Sm: 0.000 0.559 0.750
Sm: 0.500 0.059 0.750
Sm: 0.500 0.941 0.250
Te: 0.000 0.267 0.750
Te: 0.000 0.733 0.250
Te: 0.500 0.233 0.250
Te: 0.500 0.767 0.750

DOS at the Fermi energy: 17.1 states/eV per cell
E above lowest polymorph: 0 meV per atom

***

Number 1: total moment 0.000 μB/cell. Number 2: total moment 0.000 μB/cell.